[1]
CdSiTc2 after structural relaxation, computed with PBE.

The structure in extended XYZ format:
```
8
Lattice="-1.9204 -2.1293 2.7302 3.3766 -1.8422 0.9383 2.5086 4.4871 8.1348" Properties=species:S:1:pos:R:3 pbc="T T T"
Tc 2.7243 1.7141 7.5592
Tc 2.3287 -0.4829 3.2014
Tc 2.8589 0.0523 9.2286
Si 3.3067 0.3296 5.4537
Cd 0.0000 0.0000 0.0000
Tc 0.0178 -0.2521 3.6174
Cd 0.6582 0.1861 6.3496
Si 0.7281 -1.9857 1.8343
```

Summary:
E above lowest polymorph: 573 meV per atom
Formation energy from raw total energies: 542 meV per atom



[2]
CdSiTc2 after structural relaxation, computed with PBE.

The structure in extended XYZ format:
```
4
Lattice="2.9929 0.0000 0.0000 0.0000 2.9929 0.0000 0.0000 0.0000 6.9041" Properties=species:S:1:pos:R:3 pbc="T T T"
Cd 1.4965 1.4965 1.7260
Tc 0.0000 0.0000 3.8357
Tc 0.0000 0.0000 6.5204
Si 1.4965 1.4965 5.1780
```

Summary:
E above lowest polymorph: 0 meV per atom
Formation energy from raw total energies: -31 meV per atom



[3]
CdSi2Tc2 after structural relaxation, computed with PBE.

The structure in extended XYZ format:
```
5
Lattice="-0.7057 -2.3479 2.4678 1.9931 -2.3284 -1.6453 5.8082 -0.3186 3.8096" Properties=species:S:1:pos:R:3 pbc="T T T"
Cd 0.0000 0.0000 0.0000
Si 2.8731 -2.5023 3.3443
Tc 5.2561 -3.1243 3.4341
Si 4.2225 -2.4925 1.2878
Tc 1.8395 -1.8705 1.1981
```

Summary:
E above lowest polymorph: 85 meV per atom
Formation energy from raw total energies: -86 meV per atom



[4]
CdSiTc2 after structural relaxation, computed with PBE.

The structure in extended XYZ format:
```
4
Lattice="0.0000 3.1086 3.1086 3.1086 0.0000 3.1086 3.1086 3.1086 0.0000" Properties=species:S:1:pos:R:3 pbc="T T T"
Si 0.0000 0.0000 0.0000
Tc 1.5543 1.5543 1.5543
Cd 3.1086 3.1086 3.1086
Tc 4.6629 4.6629 4.6629
```

Summary:
E above lowest polymorph: 323 meV per atom
Formation energy from raw total energies: 292 meV per atom



[5]
CdSiTc2 after structural relaxation, computed with PBE.

The structure in extended XYZ format:
```
4
Lattice="4.7132 -0.0121 0.0000 1.2706 4.5387 0.0000 -2.9919 -2.2633 2.8531" Properties=species:S:1:pos:R:3 pbc="T T T"
Si 2.3566 -0.0060 1.4266
Tc 0.6353 2.2694 1.4266
Tc 0.0000 0.0000 0.0000
Cd 2.9919 2.2633 0.0000
```

Summary:
E above lowest polymorph: 369 meV per atom
Formation energy from raw total energies: 338 meV per atom



[6]
CdSiTc3 after structural relaxation, computed with PBE.

The structure in extended XYZ format:
```
5
Lattice="-4.2148 1.2188 0.7516 -1.1468 -1.4740 -4.0406 -0.8574 -4.0195 1.7097" Properties=species:S:1:pos:R:3 pbc="T T T"
Tc -2.1074 0.6094 0.3758
Si 0.0000 0.0000 0.0000
Tc -0.4287 -2.0097 0.8548
Cd -3.1095 -2.1374 -0.7897
Tc -0.5734 -0.7370 -2.0203
```

Summary:
E above lowest polymorph: 0 meV per atom
Formation energy from raw total energies: 791 meV per atom



[7]
CdSiTc2 after structural relaxation, computed with PBE.

The structure in extended XYZ format:
```
4
Lattice="3.6858 0.0000 0.0000 0.0000 2.9774 -0.0027 0.0000 1.9360 5.8008" Properties=species:S:1:pos:R:3 pbc="T T T"
Si 1.8429 3.6850 4.3485
Cd 1.8429 1.2283 1.4495
Tc 0.0000 2.7656 3.1764
Tc 0.0000 4.6044 5.5207
```

Summary:
E above lowest polymorph: 169 meV per atom
Formation energy from raw total energies: 138 meV per atom



[8]
CdSiTc2 after structural relaxation, computed with PBE.

The structure in extended XYZ format:
```
4
Lattice="2.8127 -0.0101 0.0000 -1.0985 2.5894 0.0000 0.0000 0.0000 8.5823" Properties=species:S:1:pos:R:3 pbc="T T T"
Tc 0.0000 0.0000 8.2827
Si 0.8571 1.2896 6.4367
Cd 0.8571 1.2896 2.1456
Tc 0.0000 0.0000 4.5907
```

Summary:
E above lowest polymorph: 178 meV per atom
Formation energy from raw total energies: 147 meV per atom